Compound: Cs2PrFe2O6
Source: the Alexandria database
Functional: GGA+U
Structure: optimized geometry

The calculation puts the density of states at the Fermi level at 22.177 states/eV/cell. The total moment comes out at 0.636 μB/atom. Its calculated density is 4.7 g/cm³. The electronic total energy comes out at -5.9392 eV per atom.

The space group is R-3m (No. 166, hexagonal axes) and the conventional cell measures 6.3592, 6.3592 and 18.5081 Å, with angles of 90.00, 90.00 and 120.00 degrees. The distinct sites, in fractional coordinates, are Cs at (0.0000, 0.0000, 0.2205), Pr at (0.0000, 0.0000, 0.0000), Fe at (0.0000, 0.0000, 0.4248) and O at (0.0134, 0.5067, 0.2549).